Version a
CsSbTe3: relaxed, PBE.

Calculated values
- Space-group type: No. 4
- Volume: 45.20 Å³/atom
- Density: 4.684 g/cm3
- M_tot: 0.00 μB per formula unit

```
10
Lattice="7.788 0.000 0.000 0.000 7.171 0.000 -0.725 0.000 8.094" Properties=species:S:1:pos:R:3 pbc="T T T"
Cs 0.606 0.000 2.022
Cs 6.458 3.585 6.072
Sb 2.799 0.422 6.646
Sb 4.264 4.007 1.448
Te -0.135 0.001 5.953
Te 2.079 3.555 3.219
Te 2.651 3.324 6.902
Te 4.412 6.909 1.192
Te 4.984 7.140 4.875
Te 7.198 3.586 2.141
```

---

Version b
CsSbTe3: relaxed, PBE.

Calculated values
- Space-group type: No. 221
- Volume: 41.50 Å³/atom
- DOS at the Fermi energy: 1.251 states/eV per atom
- Density: 5.101 g/cm3
- M_tot: 0.00 μB per formula unit

```
5
Lattice="5.920 0.000 0.000 0.000 5.920 0.000 0.000 0.000 5.920" Properties=species:S:1:pos:R:3 pbc="T T T"
Cs 0.000 0.000 0.000
Sb 2.960 2.960 2.960
Te 0.000 2.960 2.960
Te 2.960 0.000 2.960
Te 2.960 2.960 0.000
```

---

Which of them is most stable, and which least? Most stable: version a; least stable: version b.

---

Version a
Cs4SbTe4: relaxed, PBE.

Calculated values
- Space-group type: No. 121
- Volume: 68.53 Å³/atom
- DOS at the Fermi energy: 0.734 states/eV per atom
- Density: 3.133 g/cm3
- M_tot: 0.13 μB per formula unit

```
9
Lattice="-4.502 4.502 7.609 4.502 -4.502 7.609 4.502 4.502 -7.609" Properties=species:S:1:pos:R:3 pbc="T T T"
Cs 4.502 0.000 0.000
Cs 0.000 0.000 3.002
Cs 0.000 4.502 0.000
Cs 0.000 0.000 12.217
Sb 0.000 0.000 7.609
Te 2.855 2.855 -1.719
Te 1.647 -1.647 9.328
Te 1.647 1.647 5.891
Te -1.647 1.647 9.328
```

---

Version b
Cs4SbTe4: relaxed, PBE.

Calculated values
- Space-group type: No. 87
- Volume: 55.81 Å³/atom
- DOS at the Fermi energy: 1.400 states/eV per atom
- Density: 3.848 g/cm3
- M_tot: 0.05 μB per formula unit

```
9
Lattice="-5.708 5.708 3.854 5.708 -5.708 3.854 5.708 5.708 -3.854" Properties=species:S:1:pos:R:3 pbc="T T T"
Cs 3.403 0.946 0.000
Cs 4.762 -2.306 3.854
Cs 0.946 8.014 0.000
Cs 2.306 4.762 3.854
Sb 0.000 0.000 3.854
Te 6.666 2.916 0.000
Te 2.916 4.751 0.000
Te 2.793 0.958 3.854
Te -0.958 2.793 3.854
```

---

Which of them is most stable, and which least? Most stable: version a; least stable: version b.